Computed, not measured: PrHoW2C3 after structural relaxation at the PBE level of DFT.

Computed properties:
The total energy is -129.3 eV for the cell shown.

Cell lengths 12.091, 3.369, 5.824 Å; angles 90.00, 114.06, 90.00 degrees
Space group Cm (No. 8)
Symmetry-distinct sites (fractional):
Pr  0.000  0.000  0.000 x2
Ho  0.217  0.000  0.632 x2
W  0.262  0.500  0.130 x2
W  0.447  0.000  0.482 x2
C  0.108  0.500  0.795 x2
C  0.352  0.000  0.077 x2
C  0.354  0.500  0.537 x2

Computed, not measured: LiSiAuO3 after structural relaxation at the PBE level of DFT.

Computed properties:
The total energy is -140.7 eV for the cell shown.

Cell lengths 9.131, 2.864, 9.740 Å; angles 90.00, 90.05, 90.00 degrees
Space group P2_1/m (No. 11)
Symmetry-distinct sites (fractional):
Li  0.250  0.250  0.123 x2
Li  0.250  0.750  0.623 x2
Si  0.040  0.250  0.377 x2
Si  0.460  0.750  0.877 x2
Au  0.045  0.250  0.902 x2
Au  0.455  0.750  0.402 x2
O  0.093  0.750  0.749 x2
O  0.101  0.250  0.543 x2
O  0.134  0.750  0.320 x2
O  0.366  0.250  0.819 x2
O  0.399  0.750  0.042 x2
O  0.407  0.250  0.249 x2

Computed, not measured: Pt after structural relaxation at the PBE level of DFT.

Computed properties:
The formation enthalpy at 0 K comes out at 0.042 eV per atom. The value obtained for the energy above the most stable polymorph in this dataset is 4.1 kJ/mol of atoms.

Cell lengths 2.7880, 2.7880, 20.7946 Å; angles 90.00, 90.00, 120.00 degrees
Space group R-3m (No. 166, hexagonal axes)
Symmetry-distinct sites (fractional):
Pt  0.0000  0.0000  0.0000 x3
Pt  0.0000  0.0000  0.2228 x6

Computed, not measured: DyAlNO after structural relaxation at the PBE level of DFT.

Computed properties:
The value obtained for the energy above the most stable polymorph in this dataset is 11.8 kJ/mol of atoms.

Cell lengths 3.391, 6.242, 5.234 Å; angles 90.00, 90.00, 90.00 degrees
Space group Pmc2_1 (No. 26)
Symmetry-distinct sites (fractional):
Dy  0.000  0.166  0.000 x2
Al  0.500  0.351  0.536 x2
N  0.500  0.382  0.889 x2
O  0.000  0.221  0.461 x2

Computed, not measured: LaHgTeO after structural relaxation at the PBE level of DFT.

Computed properties:
The value obtained for the energy above the most stable polymorph in this dataset is 16.1 kJ/mol of atoms.

Cell lengths 5.435, 9.372, 5.806 Å; angles 90.00, 90.00, 90.00 degrees
Space group Pmc2_1 (No. 26)
Symmetry-distinct sites (fractional):
La  0.000  0.138  0.000 x2
Hg  0.500  0.325  0.644 x2
Te  0.500  0.312  0.148 x2
O  0.000  0.071  0.644 x2

Computed, not measured: NiPb after structural relaxation at the PBE level of DFT.

Computed properties:
The total energy is -16.3 eV for the cell shown.

Cell lengths 4.1642, 4.1642, 6.7959 Å; angles 90.00, 90.00, 120.00 degrees
Space group P6_3mc (No. 186)
Symmetry-distinct sites (fractional):
Ni  0.3333  0.6667  0.0000 x2
Pb  0.3333  0.6667  0.3760 x2

Computed, not measured: TaAl3C after structural relaxation at the PBE level of DFT.

Computed properties:
The total energy is -29.6 eV for the cell shown.

Cell lengths 4.129, 4.129, 4.129 Å; angles 90.00, 90.00, 90.00 degrees
Space group Pm-3m (No. 221)
Symmetry-distinct sites (fractional):
Ta  0.000  0.000  0.000 x1
Al  0.000  0.500  0.500 x3
C  0.500  0.500  0.500 x1

Computed, not measured: Tb2HoNi2C2N3 after structural relaxation at the PBE level of DFT.

Computed properties:
The total energy is -154.3 eV for the cell shown.

Cell lengths 3.465, 3.465, 19.521 Å; angles 90.00, 90.00, 90.00 degrees
Space group I4/mmm (No. 139)
Symmetry-distinct sites (fractional):
Tb  0.000  0.000  0.126 x4
Ho  0.000  0.000  0.500 x2
Ni  0.000  0.500  0.250 x4
C  0.000  0.000  0.310 x4
N  0.000  0.000  0.000 x2
N  0.000  0.000  0.382 x4

Computed, not measured: LiHoGe after structural relaxation at the PBE level of DFT.

Computed properties:
The total energy is -26.3 eV for the cell shown.

Cell lengths 4.3803, 4.3803, 7.0979 Å; angles 90.00, 90.00, 120.00 degrees
Space group P6_3mc (No. 186)
Symmetry-distinct sites (fractional):
Li  0.3333  0.6667  0.0000 x2
Ho  0.0000  0.0000  0.2264 x2
Ge  0.3333  0.6667  0.4571 x2

Computed, not measured: SmPuSb2 after structural relaxation at the PBE level of DFT.

Computed properties:
The total energy is -30.8 eV for the cell shown.

Cell lengths 4.452, 4.452, 6.279 Å; angles 90.00, 90.00, 90.00 degrees
Space group P4/mmm (No. 123)
Symmetry-distinct sites (fractional):
Sm  0.000  0.000  0.000 x1
Pu  0.500  0.500  0.500 x1
Sb  0.000  0.000  0.500 x1
Sb  0.500  0.500  0.000 x1

Computed, not measured: LaAs2Ir2 after structural relaxation at the PBE level of DFT.

Computed properties:
The total energy is -71.9 eV for the cell shown.

Cell lengths 4.324, 4.324, 10.114 Å; angles 90.00, 90.00, 90.00 degrees
Space group P4/nmm (No. 129, origin choice 2)
Symmetry-distinct sites (fractional):
La  0.250  0.250  0.246 x2
As  0.250  0.250  0.638 x2
As  0.250  0.750  0.000 x2
Ir  0.250  0.250  0.881 x2
Ir  0.250  0.750  0.500 x2

Computed, not measured: La2CdIn after structural relaxation at the PBE level of DFT.

Computed properties:
The total energy is -30.3 eV for the cell shown.

Cell lengths 7.239, 7.536, 4.421 Å; angles 90.00, 90.00, 90.00 degrees
Space group Cmmm (No. 65)
Symmetry-distinct sites (fractional):
La  0.250  0.250  0.000 x4
Cd  0.000  0.000  0.500 x2
In  0.000  0.500  0.500 x2